Entry 1:
# PBE Li2ZrSb, relaxed
# Formation energy without anion corrections   -0.16 eV/atom
# Calculated volume   21.40 Å³ per atom
data_Li2ZrSb
_cell_length_a 6.181
_cell_length_b 6.181
_cell_length_c 3.068
_cell_angle_alpha 76.44
_cell_angle_beta 76.44
_cell_angle_gamma 123.01
_space_group_name_H-M_alt 'P 1'
_space_group_IT_number 1
_space_group_name_Hall 'P 1'
loop_
_atom_site_label
_atom_site_fract_x
_atom_site_fract_y
_atom_site_fract_z
Li1 0.500 0.500 0.000
Li2 0.000 0.000 0.000
Sb1 0.500 0.000 0.500
Zr1 0.000 0.500 0.500

***

Entry 2:
# PBE Dy5Y4In, relaxed
# Calculated volume   32.55 Å³ per atom
# Energy of formation   1.06 eV per formula unit
data_Dy5Y4In
_cell_length_a 5.808
_cell_length_b 8.030
_cell_length_c 8.030
_cell_angle_alpha 82.49
_cell_angle_beta 68.80
_cell_angle_gamma 68.80
_space_group_name_H-M_alt 'P 1'
_space_group_IT_number 1
_space_group_name_Hall 'P 1'
loop_
_atom_site_label
_atom_site_fract_x
_atom_site_fract_y
_atom_site_fract_z
Dy1 0.770 0.371 0.000
Dy2 0.140 0.629 0.000
Dy3 0.140 0.000 0.629
Y1 0.458 0.315 0.686
Dy4 0.670 0.000 0.000
Y2 0.144 0.314 0.315
Dy5 0.770 0.000 0.371
Y3 0.773 0.686 0.685
In1 0.188 0.000 0.000
Y4 0.458 0.685 0.314

***

Entry 3:
# PBE Sm6Si2O, relaxed
# Formation energy without anion corrections   -0.95 eV/atom
# Calculated volume   25.72 Å³ per atom
data_Sm6Si2O
_cell_length_a 6.406
_cell_length_b 7.742
_cell_length_c 9.340
_cell_angle_alpha 90.00
_cell_angle_beta 91.58
_cell_angle_gamma 90.00
_space_group_name_H-M_alt 'P 1'
_space_group_IT_number 1
_space_group_name_Hall 'P 1'
loop_
_atom_site_label
_atom_site_fract_x
_atom_site_fract_y
_atom_site_fract_z
Si1 0.440 0.115 0.246
Si2 0.560 0.885 0.754
Sm1 0.140 0.296 0.442
Sm2 0.375 0.534 0.744
Sm3 0.360 0.796 0.058
Sm4 0.625 0.466 0.256
Sm5 0.668 0.164 0.554
Sm6 0.168 0.336 0.054
Si3 0.060 0.615 0.254
Sm7 0.640 0.204 0.942
Sm8 0.125 0.034 0.756
Sm9 0.832 0.664 0.946
Si4 0.940 0.385 0.746
Sm10 0.332 0.836 0.446
Sm11 0.860 0.704 0.558
Sm12 0.875 0.966 0.244
O1 0.000 0.000 0.500
O2 0.500 0.500 0.000

***

Entry 4:
# PBE Nb3TcO, relaxed
# Energy above the most stable polymorph in this dataset   0.000 eV per atom
# Formation energy without anion corrections   -0.56 eV/atom
# Calculated volume   15.28 Å³ per atom
data_Nb3TcO
_cell_length_a 4.244
_cell_length_b 4.244
_cell_length_c 4.244
_cell_angle_alpha 90.00
_cell_angle_beta 90.00
_cell_angle_gamma 90.00
_space_group_name_H-M_alt 'P 1'
_space_group_IT_number 1
_space_group_name_Hall 'P 1'
loop_
_atom_site_label
_atom_site_fract_x
_atom_site_fract_y
_atom_site_fract_z
Nb1 0.500 0.000 0.000
Tc1 0.500 0.500 0.500
O1 0.000 0.000 0.000
Nb2 0.000 0.500 0.000
Nb3 0.000 0.000 0.500

***

Entry 5:
# PBE CsMoPt2, relaxed
# Energy above the most stable polymorph in this dataset   0.477 eV per atom
# Calculated volume   21.44 Å³ per atom
# Energy of formation   4.56 eV per formula unit
data_CsMoPt2
_cell_length_a 4.950
_cell_length_b 4.950
_cell_length_c 4.950
_cell_angle_alpha 60.00
_cell_angle_beta 60.00
_cell_angle_gamma 60.00
_space_group_name_H-M_alt 'P 1'
_space_group_IT_number 1
_space_group_name_Hall 'P 1'
loop_
_atom_site_label
_atom_site_fract_x
_atom_site_fract_y
_atom_site_fract_z
Pt1 0.750 0.750 0.750
Pt2 0.250 0.250 0.250
Mo1 0.000 0.000 0.000
Cs1 0.500 0.500 0.500

***

Entry 6:
# PBE FePtSe2, relaxed
# Energy above the most stable polymorph in this dataset   0.524 eV per atom
# Formation energy without anion corrections   0.34 eV/atom
# Calculated volume   22.15 Å³ per atom
data_FePtSe2
_cell_length_a 3.514
_cell_length_b 7.135
_cell_length_c 3.533
_cell_angle_alpha 90.00
_cell_angle_beta 90.00
_cell_angle_gamma 90.00
_space_group_name_H-M_alt 'P 1'
_space_group_IT_number 1
_space_group_name_Hall 'P 1'
loop_
_atom_site_label
_atom_site_fract_x
_atom_site_fract_y
_atom_site_fract_z
Se1 0.500 0.500 0.000
Se2 0.000 0.000 0.000
Fe1 0.500 0.000 0.500
Pt1 0.000 0.500 0.500

***

Entry 7:
# PBE MnCo3, relaxed
# Calculated volume   10.78 Å³ per atom
# Energy of formation   0.16 eV per formula unit
data_MnCo3
_cell_length_a 4.972
_cell_length_b 4.003
_cell_length_c 4.335
_cell_angle_alpha 90.00
_cell_angle_beta 90.00
_cell_angle_gamma 90.00
_space_group_name_H-M_alt 'P 1'
_space_group_IT_number 1
_space_group_name_Hall 'P 1'
loop_
_atom_site_label
_atom_site_fract_x
_atom_site_fract_y
_atom_site_fract_z
Co1 0.751 0.000 0.165
Co2 0.000 0.500 0.330
Co3 0.500 0.000 0.670
Co4 0.749 0.500 0.835
Co5 0.251 0.500 0.835
Mn1 0.500 0.500 0.338
Mn2 0.000 0.000 0.662
Co6 0.249 0.000 0.165

***

Entry 8:
# PBE NaMg2Sc, relaxed
# Energy above the most stable polymorph in this dataset   0.355 eV per atom
# Calculated volume   26.58 Å³ per atom
# Energy of formation   1.61 eV per formula unit
data_NaMg2Sc
_cell_length_a 8.202
_cell_length_b 8.202
_cell_length_c 6.605
_cell_angle_alpha 51.62
_cell_angle_beta 51.62
_cell_angle_gamma 90.00
_space_group_name_H-M_alt 'P 1'
_space_group_IT_number 1
_space_group_name_Hall 'P 1'
loop_
_atom_site_label
_atom_site_fract_x
_atom_site_fract_y
_atom_site_fract_z
Mg1 0.617 0.125 0.250
Na1 0.500 0.500 0.000
Sc1 0.000 0.000 0.000
Mg2 0.133 0.625 0.250
Mg3 0.375 0.383 0.750
Na2 0.250 0.750 0.500
Sc2 0.750 0.250 0.500
Mg4 0.875 0.867 0.750

***

> Which formula does entry 8 have?

NaMg2Sc

***

> Number 5 is which compound?

CsMoPt2